A plane-wave DFT calculation with GGA-PBE was carried out for ScGeI2O after structural relaxation.

Lattice parameters (Å, degrees): 5.945 5.945 3.871 90.00 90.00 90.00
Atoms (fractional coordinates):
Sc 0.000 0.000 0.000
Ge 0.500 0.500 0.500
I 0.000 0.500 0.000
I 0.500 0.000 0.000
O 0.000 0.000 0.500

Computed properties:
Volume in Å³/cell: 137
VASP energy in eV per atom: -4.773
Energy relative to the elements, uncorrected in eV per atom: -0.972